No. 1
MgTi2S4 (PBEsol, relaxed); SG = No. 12; raw total energy = -6.58 eV per atom
1.0
6.7462 -1.7009 0.0000
6.7462 1.7009 0.0000
-2.4569 0.0000 5.3314
Mg Ti S
1 2 4
Direct
0.0000 0.0000 0.0000
0.2543 0.2543 0.2725
0.7457 0.7457 0.7275
0.1266 0.1266 0.4647
0.3651 0.3651 0.0284
0.6349 0.6349 0.9716
0.8734 0.8734 0.5353



No. 2
BeCrSi3 (PBEsol, relaxed); SG = No. 221; raw total energy = -5.56 eV per atom
1.0
4.4136 0.0000 0.0000
0.0000 4.4136 0.0000
0.0000 0.0000 4.4136
Be Cr Si
1 1 3
Direct
0.0000 0.0000 0.0000
0.5000 0.5000 0.5000
0.0000 0.5000 0.5000
0.5000 0.0000 0.5000
0.5000 0.5000 0.0000



No. 3
MgAgO2 (PBEsol, relaxed); SG = No. 166; raw total energy = -4.45 eV per atom
1.0
1.7238 0.9953 5.7462
-1.7238 0.9953 5.7462
0.0000 -1.9905 5.7462
Mg Ag O
1 1 2
Direct
0.0000 0.0000 0.0000
0.5000 0.5000 0.5000
0.1085 0.1085 0.1085
0.8915 0.8915 0.8915



No. 4
KGdTiO4 (PBEsol, relaxed); SG = No. 57; raw total energy = -9.43 eV per atom
1.0
12.9541 0.0000 0.0000
0.0000 5.4457 0.0000
0.0000 0.0000 5.3508
K Gd Ti O
4 4 4 16
Direct
0.0951 0.0186 0.2500
0.0951 0.4814 0.7500
0.9049 0.5186 0.2500
0.9049 0.9814 0.7500
0.3979 0.0236 0.2500
0.3979 0.4764 0.7500
0.6021 0.5236 0.2500
0.6021 0.9764 0.7500
0.2525 0.5067 0.2500
0.2525 0.9933 0.7500
0.7475 0.0067 0.2500
0.7475 0.4933 0.7500
0.1175 0.5296 0.2500
0.1175 0.9704 0.7500
0.2715 0.2500 0.0000
0.2715 0.2500 0.5000
0.2960 0.7500 0.0000
0.2960 0.7500 0.5000
0.4367 0.0640 0.7500
0.4367 0.4360 0.2500
0.5633 0.5640 0.7500
0.5633 0.9360 0.2500
0.7040 0.2500 0.0000
0.7040 0.2500 0.5000
0.7285 0.7500 0.0000
0.7285 0.7500 0.5000
0.8825 0.0296 0.2500
0.8825 0.4704 0.7500



No. 5
LaCr2Rh (PBEsol, relaxed); SG = No. 139; raw total energy = -7.92 eV per atom; polymorph energy (0 for the lowest one) = 225 meV per atom; ΔE_f = 2.270 eV per formula unit
1.0
-2.1169 2.1169 3.9504
2.1169 -2.1169 3.9504
2.1169 2.1169 -3.9504
La Cr Rh
1 2 1
Direct
0.0000 0.0000 0.0000
0.2500 0.7500 0.5000
0.7500 0.2500 0.5000
0.5000 0.5000 0.0000



No. 6
MgTl (PBEsol, relaxed); SG = No. 164; raw total energy = -2.17 eV per atom; ΔE_f = 0.005 eV per formula unit
1.0
3.3958 0.0000 0.0000
-1.6979 2.9408 0.0000
0.0000 0.0000 10.1335
Mg Tl
2 2
Direct
0.3333 0.6667 0.1210
0.6667 0.3333 0.8790
0.3333 0.6667 0.6343
0.6667 0.3333 0.3657



No. 7
FeSiOs2 (PBEsol, relaxed); SG = No. 123; raw total energy = -9.92 eV per atom
1.0
4.1533 0.0000 0.0000
0.0000 4.1533 0.0000
0.0000 0.0000 2.9084
Fe Si Os
1 1 2
Direct
0.0000 0.0000 0.0000
0.5000 0.5000 0.0000
0.0000 0.5000 0.5000
0.5000 0.0000 0.5000



No. 8
Te3Mo (PBEsol, relaxed); SG = No. 123; raw total energy = -5.60 eV per atom
1.0
3.1943 0.0000 0.0000
0.0000 3.1943 0.0000
0.0000 0.0000 9.8270
Te Mo
3 1
Direct
0.0000 0.0000 0.0000
0.5000 0.5000 0.3283
0.5000 0.5000 0.6717
0.0000 0.0000 0.5000



no.,magnetization (μB per formula unit)
1,0.0
2,0.0
3,0.0
4,7.0
5,7.7
6,0.0
7,2.5
8,0.0